Entry 1:
{"formula": "Ti3CrSe", "functional": "PBE-GGA", "state": "optimized geometry", "lattice": [[4.592, 0.000, 0.000], [0.000, 4.592, 0.000], [0.000, 0.000, 4.592]], "species": ["Ti", "Ti", "Ti", "Cr", "Se"], "frac_coords": [[0.000, 0.000, 0.500], [0.000, 0.500, 0.000], [0.500, 0.000, 0.000], [0.500, 0.500, 0.500], [0.000, 0.000, 0.000]], "polymorph_energy_ev_per_atom": 0.118, "space_group": "No. 221"}

***

Entry 2:
{"formula": "TiTl2Cr2Se6", "functional": "PBE-GGA", "state": "optimized geometry", "lattice": [[3.197, -5.544, 0.000], [3.197, 5.544, 0.000], [-2.100, 0.000, 7.819]], "species": ["Ti", "Tl", "Tl", "Cr", "Cr", "Se", "Se", "Se", "Se", "Se", "Se"], "frac_coords": [[0.000, 0.000, 0.000], [0.163, 0.837, 0.500], [0.837, 0.163, 0.500], [0.331, 0.669, 0.000], [0.669, 0.331, 0.000], [0.062, 0.397, 0.183], [0.279, 0.279, 0.818], [0.397, 0.062, 0.183], [0.603, 0.938, 0.817], [0.721, 0.721, 0.182], [0.938, 0.603, 0.817]], "space_group": "No. 12"}

***

Entry 3:
{"formula": "TiVCr2Se", "functional": "PBE-GGA", "state": "optimized geometry", "lattice": [[4.455, 0.000, 0.000], [0.000, 4.455, 0.000], [0.000, 0.000, 4.746]], "species": ["Ti", "V", "Cr", "Cr", "Se"], "frac_coords": [[0.000, 0.000, 0.000], [0.500, 0.500, 0.500], [0.000, 0.500, 0.000], [0.500, 0.000, 0.000], [0.000, 0.000, 0.500]], "space_group": "No. 123"}

***

Entry 4:
{"formula": "Tl2CrSe3", "functional": "PBE-GGA", "state": "optimized geometry", "lattice": [[6.567, -3.905, 0.000], [6.567, 3.905, 0.000], [-1.109, 0.000, 6.692]], "species": ["Tl", "Tl", "Tl", "Tl", "Cr", "Cr", "Se", "Se", "Se", "Se", "Se", "Se"], "frac_coords": [[0.011, 0.315, 0.156], [0.315, 0.011, 0.656], [0.685, 0.989, 0.344], [0.989, 0.685, 0.844], [0.422, 0.578, 0.250], [0.578, 0.422, 0.750], [0.122, 0.878, 0.250], [0.318, 0.439, 0.502], [0.439, 0.318, 0.002], [0.561, 0.682, 0.998], [0.682, 0.561, 0.498], [0.878, 0.122, 0.750]], "space_group": "No. 15"}

***

Entry 5:
{"formula": "TlCrSe2", "functional": "PBE-GGA", "state": "optimized geometry", "lattice": [[3.809, 0.000, 0.000], [0.000, 3.912, 0.000], [0.000, 0.000, 7.366]], "species": ["Tl", "Cr", "Se", "Se"], "frac_coords": [[0.000, 0.000, 0.000], [0.000, 0.500, 0.500], [0.500, 0.000, 0.500], [0.500, 0.500, 0.000]], "space_group": "No. 47"}

***

Entry 6:
{"formula": "TlCr2Se", "functional": "PBE-GGA", "state": "optimized geometry", "lattice": [[0.000, 3.429, 3.429], [3.429, 0.000, 3.429], [3.429, 3.429, 0.000]], "species": ["Tl", "Cr", "Cr", "Se"], "frac_coords": [[0.000, 0.000, 0.000], [0.500, 0.500, 0.500], [0.750, 0.750, 0.750], [0.250, 0.250, 0.250]], "polymorph_energy_ev_per_atom": 0.371, "space_group": "No. 216"}

***

Entry 7:
{"formula": "Tl3CrSe3", "functional": "PBE-GGA", "state": "optimized geometry", "lattice": [[8.525, 0.000, 0.000], [0.000, 3.953, 0.000], [-0.065, 0.000, 11.580]], "species": ["Tl", "Tl", "Tl", "Tl", "Tl", "Tl", "Cr", "Cr", "Se", "Se", "Se", "Se", "Se", "Se"], "frac_coords": [[0.114, 0.250, 0.145], [0.137, 0.250, 0.628], [0.344, 0.750, 0.381], [0.656, 0.250, 0.619], [0.863, 0.750, 0.372], [0.886, 0.750, 0.855], [0.388, 0.750, 0.886], [0.612, 0.250, 0.114], [0.185, 0.250, 0.890], [0.399, 0.750, 0.661], [0.417, 0.750, 0.104], [0.583, 0.250, 0.896], [0.601, 0.250, 0.339], [0.815, 0.750, 0.110]], "polymorph_energy_ev_per_atom": 0.000, "space_group": "No. 11"}

***

Entry 8:
{"formula": "TlCr2Se", "functional": "PBE-GGA", "state": "optimized geometry", "lattice": [[-1.970, 1.970, 5.178], [1.970, -1.970, 5.178], [1.970, 1.970, -5.178]], "species": ["Tl", "Cr", "Cr", "Se"], "frac_coords": [[0.000, 0.000, 0.000], [0.250, 0.750, 0.500], [0.500, 0.500, 0.000], [0.750, 0.250, 0.500]], "polymorph_energy_ev_per_atom": 0.264, "space_group": "No. 119"}

***

Entry 9:
{"formula": "TlCrSe2", "functional": "PBE-GGA", "state": "optimized geometry", "lattice": [[3.015, -3.901, 0.000], [3.015, 3.901, 0.000], [0.000, 0.000, 3.860]], "species": ["Tl", "Cr", "Se", "Se"], "frac_coords": [[0.000, 0.000, 0.000], [0.500, 0.500, 0.000], [0.000, 0.500, 0.500], [0.500, 0.000, 0.500]], "space_group": "No. 65"}

***

Entry 10:
{"formula": "TlCr2Se", "functional": "PBE-GGA", "state": "optimized geometry", "lattice": [[3.297, 0.000, 0.000], [0.000, 3.297, 0.000], [0.000, 0.000, 7.298]], "species": ["Tl", "Cr", "Cr", "Se"], "frac_coords": [[0.000, 0.000, 0.000], [0.000, 0.000, 0.445], [0.500, 0.500, 0.249], [0.500, 0.500, 0.596]], "polymorph_energy_ev_per_atom": 0.000, "space_group": "No. 99"}

***

Entry 11:
{"formula": "TlCrSe2", "functional": "PBE-GGA", "state": "optimized geometry", "lattice": [[1.912, 1.104, 7.517], [-1.912, 1.104, 7.517], [0.000, -2.208, 7.517]], "species": ["Tl", "Cr", "Se", "Se"], "frac_coords": [[0.000, 0.000, 0.000], [0.500, 0.500, 0.500], [0.226, 0.226, 0.226], [0.774, 0.774, 0.774]], "space_group": "No. 166"}

***

Entry 12:
{"formula": "TlCr2Se", "functional": "PBE-GGA", "state": "optimized geometry", "lattice": [[-1.609, 1.706, 6.809], [1.609, -1.706, 6.809], [1.609, 1.706, -6.809]], "species": ["Tl", "Cr", "Cr", "Se"], "frac_coords": [[0.000, 0.000, 0.000], [0.177, 0.677, 0.500], [0.367, 0.367, 0.000], [0.738, 0.238, 0.500]], "polymorph_energy_ev_per_atom": 0.163, "space_group": "No. 44"}

***

Calculated total energy for the records above, in order: -6.81 -5.46 -6.65 -4.51 -4.65 -5.71 -4.30 -5.81 -4.56 -6.08 -5.22 -5.91 eV/atom